Run A
Here is a relaxed structure of Be2MoRh from the Alexandria database. Energies are from PBE.

Unit cell a=3.6538 b=4.6262 c=4.6262 alpha=35.46 beta=90.00 gamma=90.00
Atoms (fractional coordinates):
Be  0.0000  0.0000  0.0000
Be  0.5000  0.1382  0.1382
Mo  0.0000  0.7276  0.7276
Rh  0.5000  0.4236  0.4236

## Properties
Total magnetization ... 0.00 μB per formula unit

***

Run B
Here is a relaxed structure of Be2MoRh from the Alexandria database. Energies are from PBE.

Unit cell a=4.0269 b=4.0269 c=4.0269 alpha=60.00 beta=60.00 gamma=60.00
Atoms (fractional coordinates):
Be  0.2500  0.2500  0.2500
Be  0.7500  0.7500  0.7500
Mo  0.0000  0.0000  0.0000
Rh  0.5000  0.5000  0.5000

## Properties
Total magnetization ... 1.38 μB per formula unit

***

Run C
Here is a relaxed structure of Be2MoRh from the Alexandria database. Energies are from PBE.

Unit cell a=4.7640 b=4.7640 c=4.7640 alpha=146.29 beta=122.99 gamma=67.89
Atoms (fractional coordinates):
Be  0.2364  0.2364  0.0000
Be  0.7636  0.7636  0.0000
Mo  0.5000  0.0000  0.5000
Rh  0.0000  0.5000  0.5000

## Properties
Total magnetization ... 0.00 μB per formula unit

***

Which of them is most stable, and which least? Most stable: run A; least stable: run C.

***

Run A
Here is a relaxed structure of Be2MoRh from the Alexandria database. Energies are from PBE.

Unit cell a=5.0649 b=5.0649 c=5.0649 alpha=105.02 beta=105.02 gamma=118.80
Atoms (fractional coordinates):
Be  0.1087  0.1250  0.4837
Be  0.3750  0.8913  0.0163
Be  0.6413  0.6250  0.5163
Be  0.8750  0.3587  0.9837
Mo  0.2500  0.7500  0.5000
Mo  0.5000  0.5000  0.0000
Rh  0.0000  0.0000  0.0000
Rh  0.7500  0.2500  0.5000

## Properties
Total magnetization ... 0.00 μB per formula unit

***

Run B
Here is a relaxed structure of Be2MoRh from the Alexandria database. Energies are from PBE.

Unit cell a=2.8970 b=3.7941 c=4.4522 alpha=90.00 beta=90.00 gamma=90.00
Atoms (fractional coordinates):
Be  0.0000  0.0000  0.0000
Be  0.5000  0.0000  0.5000
Mo  0.0000  0.5000  0.5000
Rh  0.5000  0.5000  0.0000

## Properties
Total magnetization ... 0.00 μB per formula unit

***

Run C
Here is a relaxed structure of Be2MoRh from the Alexandria database. Energies are from PBE.

Unit cell a=3.7091 b=3.7091 c=5.2052 alpha=98.68 beta=98.68 gamma=42.91
Atoms (fractional coordinates):
Be  0.2426  0.2426  0.2116
Be  0.7574  0.7574  0.7884
Mo  0.0000  0.0000  0.5000
Rh  0.5000  0.5000  0.0000

## Properties
Total magnetization ... 0.00 μB per formula unit

***

Which of them is most stable, and which least? Most stable: run C; least stable: run A.

***

Run A
Here is a relaxed structure of BeMoRh3 from the Alexandria database. Energies are from PBE.

Unit cell a=4.1055 b=4.1055 c=4.1055 alpha=90.00 beta=90.00 gamma=90.00
Atoms (fractional coordinates):
Be  0.0000  0.0000  0.0000
Mo  0.5000  0.5000  0.5000
Rh  0.0000  0.0000  0.5000
Rh  0.0000  0.5000  0.0000
Rh  0.5000  0.0000  0.0000

## Properties
Total magnetization ... 1.10 μB per formula unit

***

Run B
Here is a relaxed structure of BeMoRh3 from the Alexandria database. Energies are from PBE.

Unit cell a=4.6508 b=4.6508 c=4.6508 alpha=90.00 beta=90.00 gamma=90.00
Atoms (fractional coordinates):
Be  0.0000  0.0000  0.0000
Mo  0.5000  0.5000  0.5000
Rh  0.0000  0.5000  0.5000
Rh  0.5000  0.0000  0.5000
Rh  0.5000  0.5000  0.0000

## Properties
Total magnetization ... 0.00 μB per formula unit

***

Which of them is most stable, and which least? Most stable: run A; least stable: run B.

***

Run A
Here is a relaxed structure of Be3MoRh from the Alexandria database. Energies are from PBE.

Unit cell a=4.0214 b=4.0214 c=4.0214 alpha=90.00 beta=90.00 gamma=90.00
Atoms (fractional coordinates):
Be  0.0000  0.0000  0.5000
Be  0.0000  0.5000  0.0000
Be  0.5000  0.0000  0.0000
Mo  0.5000  0.5000  0.5000
Rh  0.0000  0.0000  0.0000

## Properties
Total magnetization ... 1.36 μB per formula unit

***

Run B
Here is a relaxed structure of Be3MoRh from the Alexandria database. Energies are from PBE.

Unit cell a=4.1091 b=4.1091 c=4.1091 alpha=90.00 beta=90.00 gamma=90.00
Atoms (fractional coordinates):
Be  0.0000  0.0000  0.5000
Be  0.0000  0.5000  0.0000
Be  0.5000  0.0000  0.0000
Mo  0.0000  0.0000  0.0000
Rh  0.5000  0.5000  0.5000

## Properties
Total magnetization ... 0.00 μB per formula unit

***

Which of them is most stable, and which least? Most stable: run A; least stable: run B.

***

Run A
Here is a relaxed structure of Be2MoRu2 from the Alexandria database. Energies are from PBE.

Unit cell a=6.6114 b=6.6114 c=2.8547 alpha=90.00 beta=90.00 gamma=90.00
Atoms (fractional coordinates):
Be  0.1482  0.3518  0.0000
Be  0.3518  0.8518  0.0000
Be  0.6482  0.1482  0.0000
Be  0.8518  0.6482  0.0000
Mo  0.0000  0.0000  0.5000
Mo  0.5000  0.5000  0.5000
Ru  0.1480  0.6480  0.5000
Ru  0.3520  0.1480  0.5000
Ru  0.6480  0.8520  0.5000
Ru  0.8520  0.3520  0.5000

## Properties
Total magnetization ... 0.00 μB per formula unit

***

Run B
Here is a relaxed structure of Be2MoRu2 from the Alexandria database. Energies are from PBE.

Unit cell a=6.3572 b=6.3572 c=2.9054 alpha=90.00 beta=90.00 gamma=90.00
Atoms (fractional coordinates):
Be  0.1240  0.3760  0.0000
Be  0.3760  0.8760  0.0000
Be  0.6240  0.1240  0.0000
Be  0.8760  0.6240  0.0000
Mo  0.0000  0.0000  0.0000
Mo  0.5000  0.5000  0.0000
Ru  0.1675  0.6675  0.5000
Ru  0.3325  0.1675  0.5000
Ru  0.6675  0.8325  0.5000
Ru  0.8325  0.3325  0.5000

## Properties
Total magnetization ... 0.00 μB per formula unit

***

Which of them is most stable, and which least? Most stable: run B; least stable: run A.

***

Run A
Here is a relaxed structure of BeMoRu from the Alexandria database. Energies are from PBE.

Unit cell a=4.8212 b=4.8212 c=4.8212 alpha=144.19 beta=144.19 gamma=51.54
Atoms (fractional coordinates):
Be  0.0000  0.0000  0.0000
Mo  0.6760  0.6760  0.0000
Ru  0.3591  0.3591  0.0000

## Properties
Total magnetization ... 0.00 μB per formula unit

***

Run B
Here is a relaxed structure of BeMoRu from the Alexandria database. Energies are from PBE.

Unit cell a=4.6258 b=4.6258 c=4.6258 alpha=119.95 beta=104.71 gamma=104.29
Atoms (fractional coordinates):
Be  0.0000  0.0000  0.0000
Be  0.0000  0.5000  0.5000
Mo  0.1932  0.0967  0.5965
Mo  0.5002  0.5967  0.4035
Ru  0.5069  0.9216  0.0853
Ru  0.8362  0.4216  0.9147

## Properties
Total magnetization ... 0.00 μB per formula unit

***

Run C
Here is a relaxed structure of BeMoRu from the Alexandria database. Energies are from PBE.

Unit cell a=5.0704 b=4.1739 c=7.2793 alpha=90.00 beta=90.00 gamma=90.00
Atoms (fractional coordinates):
Be  0.2391  0.2500  0.0843
Be  0.2609  0.7500  0.5843
Be  0.7391  0.2500  0.4157
Be  0.7609  0.7500  0.9157
Mo  0.0084  0.2500  0.7522
Mo  0.4916  0.7500  0.2522
Mo  0.5084  0.2500  0.7478
Mo  0.9916  0.7500  0.2478
Ru  0.2372  0.2500  0.4178
Ru  0.2628  0.7500  0.9178
Ru  0.7372  0.2500  0.0822
Ru  0.7628  0.7500  0.5822

## Properties
Total magnetization ... 0.00 μB per formula unit

***

Run D
Here is a relaxed structure of BeMoRu from the Alexandria database. Energies are from PBE.

Unit cell a=4.0404 b=4.0404 c=4.0404 alpha=60.00 beta=60.00 gamma=60.00
Atoms (fractional coordinates):
Be  0.0000  0.0000  0.0000
Mo  0.5000  0.5000  0.5000
Ru  0.7500  0.7500  0.7500

## Properties
Total magnetization ... 0.00 μB per formula unit

***

Which of them is most stable, and which least? Most stable: run B; least stable: run D.

***

Run A
Here is a relaxed structure of BeMo2S from the Alexandria database. Energies are from PBE.

Unit cell a=8.9950 b=8.9950 c=8.9950 alpha=156.36 beta=156.36 gamma=33.68
Atoms (fractional coordinates):
Be  0.0000  0.0000  0.0000
Be  0.7500  0.2500  0.5000
Mo  0.1219  0.6250  0.9969
Mo  0.3750  0.3719  0.4969
Mo  0.6281  0.1250  0.0031
Mo  0.8750  0.8781  0.5031
S  0.2500  0.7500  0.5000
S  0.5000  0.5000  0.0000

## Properties
Total magnetization ... 0.00 μB per formula unit

***

Run B
Here is a relaxed structure of BeMo2S from the Alexandria database. Energies are from PBE.

Unit cell a=4.1711 b=4.1711 c=4.1711 alpha=60.00 beta=60.00 gamma=60.00
Atoms (fractional coordinates):
Be  0.0000  0.0000  0.0000
Mo  0.2500  0.2500  0.2500
Mo  0.7500  0.7500  0.7500
S  0.5000  0.5000  0.5000

## Properties
Total magnetization ... 0.00 μB per formula unit

***

Which of them is most stable, and which least? Most stable: run B; least stable: run A.

***

Run A
Here is a relaxed structure of BeMoS3 from the Alexandria database. Energies are from PBE.

Unit cell a=4.6753 b=4.6753 c=4.6753 alpha=90.00 beta=90.00 gamma=90.00
Atoms (fractional coordinates):
Be  0.0000  0.0000  0.0000
Mo  0.5000  0.5000  0.5000
S  0.0000  0.5000  0.5000
S  0.5000  0.0000  0.5000
S  0.5000  0.5000  0.0000

## Properties
Total magnetization ... 0.00 μB per formula unit

***

Run B
Here is a relaxed structure of BeMoS3 from the Alexandria database. Energies are from PBE.

Unit cell a=4.2694 b=4.2694 c=4.2694 alpha=90.00 beta=90.00 gamma=90.00
Atoms (fractional coordinates):
Be  0.0000  0.0000  0.0000
Mo  0.5000  0.5000  0.5000
S  0.0000  0.0000  0.5000
S  0.0000  0.5000  0.0000
S  0.5000  0.0000  0.0000

## Properties
Total magnetization ... 2.19 μB per formula unit

***

Which of them is most stable, and which least? Most stable: run B; least stable: run A.